(1)
VASP calculation (GGA-PBE) on a geometry-optimized K2LiTa structure.

Values from the calculation:
crystal system: monoclinic
N(E_F): 3.54 states/eV/f.u.
formation energy: 1.045 eV/atom
spin magnetization: 0.00 μB per cell
polymorph energy (0 for the lowest one): 2.49 kcal/mol of atoms

Cell: 5.162 5.162 9.722 Å, 88.70 88.70 32.27°
Sites, in units of the cell vectors:
1 K 0.995 0.995 0.070
2 K 0.754 0.754 0.676
3 Li 0.507 0.507 0.430
4 Ta 0.244 0.244 0.324


(2)
VASP calculation (GGA-PBE) on a geometry-optimized AlMoW2 structure.

Values from the calculation:
crystal system: tetragonal
N(E_F): 4.95 states/eV/f.u.
formation energy: 0.908 eV/atom
spin magnetization: 0.00 μB per cell

Cell: 7.227 7.227 5.767 Å, 51.20 51.20 90.00°
Sites, in units of the cell vectors:
1 Mo 0.000 0.000 0.000
2 Mo 0.750 0.250 0.500
3 Al 0.500 0.500 0.000
4 Al 0.250 0.750 0.500
5 W 0.645 0.125 0.250
6 W 0.105 0.625 0.250
7 W 0.375 0.355 0.750
8 W 0.875 0.895 0.750


(3)
VASP calculation (GGA-PBE) on a geometry-optimized TbBeAs2 structure.

Values from the calculation:
crystal system: tetragonal
N(E_F): 0.82 states/eV/f.u.
formation energy: -0.671 eV/atom
spin magnetization: 0.00 μB per cell
polymorph energy (0 for the lowest one): 0.00 kcal/mol of atoms

Cell: 3.935 3.935 9.955 Å, 101.38 101.38 90.07°
Sites, in units of the cell vectors:
1 Tb 0.115 0.115 0.230
2 Tb 0.885 0.885 0.770
3 Be 0.250 0.750 0.500
4 Be 0.750 0.250 0.500
5 As 0.318 0.318 0.637
6 As 0.682 0.682 0.363
7 As 0.999 0.500 0.000
8 As 0.500 0.999 0.000


(4)
VASP calculation (GGA-PBE) on a geometry-optimized Tm2Zn3Pd4 structure.

Values from the calculation:
crystal system: orthorhombic
N(E_F): 3.75 states/eV/f.u.
formation energy: -0.736 eV/atom
spin magnetization: 0.00 μB per cell

Cell: 5.570 7.637 7.960 Å, 90.00 110.48 90.00°
Sites, in units of the cell vectors:
1 Tm 0.112 0.582 0.224
2 Tm 0.888 0.418 0.776
3 Tm 0.388 0.082 0.776
4 Tm 0.612 0.918 0.224
5 Zn 0.000 0.000 0.000
6 Zn 0.500 0.500 0.000
7 Zn 0.522 0.750 0.545
8 Zn 0.978 0.250 0.455
9 Zn 0.478 0.250 0.455
10 Zn 0.022 0.750 0.545
11 Pd 0.695 0.750 0.889
12 Pd 0.805 0.250 0.111
13 Pd 0.305 0.250 0.111
14 Pd 0.195 0.750 0.889
15 Pd 0.177 0.975 0.354
16 Pd 0.823 0.025 0.646
17 Pd 0.323 0.475 0.646
18 Pd 0.677 0.525 0.354


(5)
VASP calculation (GGA-PBE) on a geometry-optimized Na2PrInO4 structure.

Values from the calculation:
crystal system: monoclinic
N(E_F): 0.00 states/eV/f.u.
E_form (uncorrected): -2.043 eV per atom
spin magnetization: 0.00 μB per cell

Cell: 3.481 5.914 5.993 Å, 109.47 90.00 90.00°
Sites, in units of the cell vectors:
1 Na 0.500 0.000 0.500
2 Na 0.000 0.500 0.500
3 Pr 0.500 0.500 0.000
4 In 0.000 0.000 0.000
5 O 0.500 0.222 0.218
6 O 0.500 0.778 0.782
7 O 0.000 0.247 0.780
8 O 0.000 0.753 0.220


(6)
VASP calculation (GGA-PBE) on a geometry-optimized LiPr2GePt6 structure.

Values from the calculation:
crystal system: monoclinic
N(E_F): 3.09 states/eV/f.u.
formation energy: -0.727 eV/atom
spin magnetization: 0.00 μB per cell

Cell: 5.665 8.186 5.667 Å, 69.88 59.93 90.07°
Sites, in units of the cell vectors:
1 Li 0.500 0.500 0.000
2 Pr 0.204 0.612 0.592
3 Pr 0.796 0.388 0.408
4 Ge 0.000 0.000 0.000
5 Pt 0.268 0.763 0.985
6 Pt 0.748 0.763 0.985
7 Pt 0.251 0.237 0.495
8 Pt 0.732 0.237 0.015
9 Pt 0.252 0.237 0.015
10 Pt 0.749 0.763 0.505


(7)
VASP calculation (GGA-PBE) on a geometry-optimized Sr2SbF8 structure.

Values from the calculation:
crystal system: orthorhombic
N(E_F): 3.02 states/eV/f.u.
E_form (uncorrected): -3.100 eV per atom
spin magnetization: 0.00 μB per cell

Cell: 4.128 5.202 8.067 Å, 108.81 104.82 90.00°
Sites, in units of the cell vectors:
1 Sr 0.171 0.672 0.344
2 Sr 0.827 0.328 0.656
3 F 0.606 0.861 0.219
4 F 0.388 0.642 0.781
5 F 0.223 0.227 0.454
6 F 0.976 0.232 0.000
7 F 0.769 0.773 0.546
8 F 0.606 0.358 0.219
9 F 0.388 0.139 0.781
10 F 0.976 0.768 0.000
11 Sb 0.569 0.000 0.000


(8)
VASP calculation (GGA-PBE) on a geometry-optimized MgC3 structure.

Values from the calculation:
crystal system: orthorhombic
N(E_F): 2.01 states/eV/f.u.
formation energy: 1.344 eV/atom
spin magnetization: 0.00 μB per cell
polymorph energy (0 for the lowest one): 15.67 kcal/mol of atoms

Cell: 2.580 7.914 3.522 Å, 90.00 90.00 90.00°
Sites, in units of the cell vectors:
1 Mg 0.000 0.500 0.301
2 C 0.000 0.000 0.783
3 C 0.500 0.000 0.783
4 C 0.500 0.500 0.801


(9)
VASP calculation (GGA-PBE) on a geometry-optimized Sr2CdSn4 structure.

Values from the calculation:
crystal system: tetragonal
N(E_F): 5.47 states/eV/f.u.
formation energy: -0.030 eV/atom
spin magnetization: 0.00 μB per cell

Cell: 5.526 5.526 9.242 Å, 72.60 72.60 90.00°
Sites, in units of the cell vectors:
1 Sr 0.363 0.363 0.273
2 Sr 0.637 0.637 0.727
3 Sn 0.166 0.166 0.668
4 Sn 0.834 0.834 0.332
5 Sn 0.000 0.500 0.000
6 Sn 0.500 0.000 0.000
7 Cd 0.000 0.000 0.000


(10)
VASP calculation (GGA-PBE) on a geometry-optimized Ce2GaSiPd6 structure.

Values from the calculation:
crystal system: monoclinic
N(E_F): 14.59 states/eV/f.u.
E_form (uncorrected): -0.627 eV per atom
spin magnetization: 1.51 μB per cell

Cell: 5.681 7.986 7.987 Å, 41.69 69.17 90.00°
Sites, in units of the cell vectors:
1 Ce 0.787 0.215 0.426
2 Ce 0.213 0.785 0.574
3 Ga 0.500 0.500 0.000
4 Si 0.000 0.000 0.000
5 Pd 0.245 0.263 0.510
6 Pd 0.741 0.757 0.013
7 Pd 0.245 0.757 0.013
8 Pd 0.755 0.243 0.987
9 Pd 0.259 0.243 0.987
10 Pd 0.755 0.737 0.490


(11)
VASP calculation (GGA-PBE) on a geometry-optimized TbNd5DyY2 structure.

Values from the calculation:
crystal system: orthorhombic
N(E_F): 14.63 states/eV/f.u.
formation energy: 0.140 eV/atom
spin magnetization: 0.00 μB per cell

Cell: 5.693 10.620 10.713 Å, 90.00 90.00 105.55°
Sites, in units of the cell vectors:
1 Tb 0.800 0.600 0.510
2 Tb 0.200 0.400 0.010
3 Nd 0.389 0.778 0.023
4 Nd 0.719 0.438 0.811
5 Nd 0.481 0.963 0.744
6 Nd 0.297 0.593 0.705
7 Nd 0.983 0.965 0.519
8 Nd 0.611 0.222 0.523
9 Nd 0.281 0.562 0.311
10 Nd 0.519 0.037 0.244
11 Nd 0.703 0.407 0.205
12 Nd 0.017 0.035 0.019
13 Dy 0.591 0.182 0.961
14 Dy 0.409 0.818 0.461
15 Y 0.884 0.768 0.815
16 Y 0.112 0.223 0.737
17 Y 0.116 0.232 0.315
18 Y 0.888 0.777 0.237


(12)
VASP calculation (GGA-PBE) on a geometry-optimized ScTeCl3 structure.

Values from the calculation:
crystal system: cubic
N(E_F): 3.50 states/eV/f.u.
E_form (uncorrected): -1.056 eV per atom
spin magnetization: 2.08 μB per cell
polymorph energy (0 for the lowest one): 0.00 kcal/mol of atoms

Cell: 5.106 5.106 5.106 Å, 90.00 90.00 90.00°
Sites, in units of the cell vectors:
1 Sc 0.000 0.000 0.000
2 Te 0.500 0.500 0.500
3 Cl 0.000 0.500 0.000
4 Cl 0.000 0.000 0.500
5 Cl 0.500 0.000 0.000


(13)
VASP calculation (GGA-PBE) on a geometry-optimized NiOsRh2 structure.

Values from the calculation:
crystal system: tetragonal
N(E_F): 5.53 states/eV/f.u.
formation energy: 0.326 eV/atom
spin magnetization: 1.28 μB per cell
polymorph energy (0 for the lowest one): 6.66 kcal/mol of atoms

Cell: 4.562 4.562 2.684 Å, 90.00 90.00 90.00°
Sites, in units of the cell vectors:
1 Ni 0.500 0.000 0.500
2 Os 0.000 0.500 0.500
3 Rh 0.000 0.000 0.000
4 Rh 0.500 0.500 0.000


(14)
VASP calculation (GGA-PBE) on a geometry-optimized CrSi2Ag structure.

Values from the calculation:
crystal system: cubic
N(E_F): 3.73 states/eV/f.u.
E_form (uncorrected): 0.533 eV per atom
spin magnetization: 3.52 μB per cell
polymorph energy (0 for the lowest one): 8.88 kcal/mol of atoms

Cell: 4.470 4.470 4.470 Å, 60.00 60.00 60.00°
Sites, in units of the cell vectors:
1 Ag 0.500 0.500 0.500
2 Cr 0.750 0.750 0.750
3 Si 0.000 0.000 0.000
4 Si 0.250 0.250 0.250


(15)
VASP calculation (GGA-PBE) on a geometry-optimized LaMn2Fe structure.

Values from the calculation:
crystal system: cubic
N(E_F): 4.84 states/eV/f.u.
formation energy: 0.458 eV/atom
spin magnetization: 2.17 μB per cell
polymorph energy (0 for the lowest one): 5.86 kcal/mol of atoms

Cell: 4.596 4.596 4.596 Å, 60.00 60.00 60.00°
Sites, in units of the cell vectors:
1 Fe 0.500 0.500 0.500
2 La 0.750 0.750 0.750
3 Mn 0.000 0.000 0.000
4 Mn 0.250 0.250 0.250


(16)
VASP calculation (GGA-PBE) on a geometry-optimized TiVGaCu structure.

Values from the calculation:
crystal system: cubic
N(E_F): 3.56 states/eV/f.u.
formation energy: -0.100 eV/atom
spin magnetization: 1.00 μB per cell

Cell: 4.338 4.338 4.338 Å, 60.00 60.00 60.00°
Sites, in units of the cell vectors:
1 Ti 0.250 0.250 0.250
2 Cu 0.500 0.500 0.500
3 Ga 0.000 0.000 0.000
4 V 0.750 0.750 0.750


(17)
VASP calculation (GGA-PBE) on a geometry-optimized BaTl2Te structure.

Values from the calculation:
crystal system: tetragonal
N(E_F): 3.89 states/eV/f.u.
E_form (uncorrected): -0.401 eV per atom
spin magnetization: 0.00 μB per cell
polymorph energy (0 for the lowest one): 5.83 kcal/mol of atoms

Cell: 4.545 4.545 7.023 Å, 90.00 90.00 90.04°
Sites, in units of the cell vectors:
1 Ba 0.500 0.500 0.250
2 Te 0.500 0.500 0.750
3 Tl 0.000 0.000 0.968
4 Tl 0.000 0.000 0.532


(18)
VASP calculation (GGA-PBE) on a geometry-optimized Be2ZnBr6 structure.

Values from the calculation:
crystal system: monoclinic
N(E_F): 0.00 states/eV/f.u.
E_form (uncorrected): -0.937 eV per atom
spin magnetization: 0.00 μB per cell

Cell: 6.285 9.643 9.643 Å, 91.78 72.78 72.78°
Sites, in units of the cell vectors:
1 Be 0.147 0.657 0.810
2 Be 0.353 0.190 0.343
3 Be 0.853 0.343 0.190
4 Be 0.647 0.810 0.657
5 Zn 0.250 0.227 0.773
6 Zn 0.750 0.773 0.227
7 Br 0.329 0.770 0.638
8 Br 0.171 0.362 0.230
9 Br 0.671 0.230 0.362
10 Br 0.829 0.638 0.770
11 Br 0.890 0.797 0.434
12 Br 0.610 0.566 0.203
13 Br 0.110 0.203 0.566
14 Br 0.390 0.434 0.797
15 Br 0.087 0.781 0.020
16 Br 0.413 0.980 0.219
17 Br 0.913 0.219 0.980
18 Br 0.587 0.020 0.781


(19)
VASP calculation (GGA-PBE) on a geometry-optimized Ac2HPt structure.

Values from the calculation:
crystal system: tetragonal
N(E_F): 3.19 states/eV/f.u.
spin magnetization: 0.00 μB per cell
polymorph energy (0 for the lowest one): 6.83 kcal/mol of atoms

Cell: 3.644 3.644 7.515 Å, 90.00 90.00 90.00°
Sites, in units of the cell vectors:
1 H 0.500 0.500 0.500
2 Ac 0.000 0.000 0.749
3 Ac 0.000 0.000 0.251
4 Pt 0.500 0.500 0.000


(20)
VASP calculation (GGA-PBE) on a geometry-optimized PtSeNF2 structure.

Values from the calculation:
crystal system: tetragonal
N(E_F): 6.06 states/eV/f.u.
E_form (uncorrected): 0.679 eV per atom
spin magnetization: 0.94 μB per cell
polymorph energy (0 for the lowest one): 9.24 kcal/mol of atoms

Cell: 4.315 4.315 3.827 Å, 90.00 90.00 90.00°
Sites, in units of the cell vectors:
1 N 0.000 0.000 0.500
2 Se 0.000 0.000 0.000
3 Pt 0.500 0.500 0.500
4 F 0.000 0.500 0.000
5 F 0.500 0.000 0.000